No. 1
A plane-wave DFT calculation with PBE-GGA was carried out for an optimized crystal structure of TmZnInSe3. Values from VASP.

Cell and atoms, written as Quantum ESPRESSO input:
```
&SYSTEM
  ibrav = 0, nat = 12, ntyp = 4
/
ATOMIC_SPECIES
In 114.82 In.upf
Se 78.96 Se.upf
Tm 168.93 Tm.upf
Zn 65.41 Zn.upf
CELL_PARAMETERS angstrom
2.031 -7.339 0.000
2.031 7.339 0.000
0.000 0.000 10.800
ATOMIC_POSITIONS crystal
In 0.252 0.748 0.250
In 0.748 0.252 0.750
Se 0.871 0.129 0.059
Se 0.567 0.433 0.250
Se 0.871 0.129 0.441
Se 0.129 0.871 0.559
Se 0.433 0.567 0.750
Se 0.129 0.871 0.941
Tm 0.500 0.500 0.000
Tm 0.500 0.500 0.500
Zn 0.962 0.038 0.250
Zn 0.038 0.962 0.750
```

The value obtained for the energy relative to the lowest polymorph listed for this composition is 0 meV per atom. For the mass density, the calculation gives 6.0 g/cm³. As for the crystal system: orthorhombic. Its volume is 26.831 A^3/atom.

---

No. 2
A plane-wave DFT calculation with PBE-GGA was carried out for an optimized crystal structure of TmZnInSe3. Values from VASP.

Cell and atoms, written as Quantum ESPRESSO input:
```
&SYSTEM
  ibrav = 0, nat = 24, ntyp = 4
/
ATOMIC_SPECIES
In 114.82 In.upf
Se 78.96 Se.upf
Tm 168.93 Tm.upf
Zn 65.41 Zn.upf
CELL_PARAMETERS angstrom
10.802 0.000 0.000
0.000 4.064 0.000
0.000 0.000 14.596
ATOMIC_POSITIONS crystal
In 0.230 0.250 0.001
In 0.730 0.250 0.499
In 0.270 0.750 0.501
In 0.770 0.750 0.999
Se 0.428 0.750 0.119
Se 0.047 0.750 0.123
Se 0.740 0.250 0.182
Se 0.240 0.250 0.318
Se 0.547 0.750 0.377
Se 0.928 0.750 0.381
Se 0.072 0.250 0.619
Se 0.453 0.250 0.623
Se 0.760 0.750 0.682
Se 0.260 0.750 0.818
Se 0.953 0.250 0.877
Se 0.572 0.250 0.881
Tm 0.488 0.250 0.246
Tm 0.988 0.250 0.254
Tm 0.012 0.750 0.746
Tm 0.512 0.750 0.754
Zn 0.240 0.750 0.213
Zn 0.740 0.750 0.287
Zn 0.260 0.250 0.713
Zn 0.760 0.250 0.787
```

The value obtained for the energy relative to the lowest polymorph listed for this composition is 0 meV per atom. For the mass density, the calculation gives 6.1 g/cm³. As for the crystal system: orthorhombic. Its volume is 26.694 A^3/atom.

---

No. 3
A plane-wave DFT calculation with PBE-GGA was carried out for an optimized crystal structure of TmZnInSe3. Values from VASP.

Cell and atoms, written as Quantum ESPRESSO input:
```
&SYSTEM
  ibrav = 0, nat = 12, ntyp = 4
/
ATOMIC_SPECIES
In 114.82 In.upf
Se 78.96 Se.upf
Tm 168.93 Tm.upf
Zn 65.41 Zn.upf
CELL_PARAMETERS angstrom
-3.990 0.750 7.995
-0.905 -1.832 8.731
5.755 6.854 -0.079
ATOMIC_POSITIONS crystal
In 0.862 0.862 0.428
In 0.138 0.138 0.572
Se 0.000 0.000 0.000
Se 0.337 0.337 0.135
Se 0.669 0.669 0.301
Se 0.500 0.500 0.500
Se 0.331 0.331 0.699
Se 0.663 0.663 0.865
Tm 0.173 0.173 0.086
Tm 0.827 0.827 0.914
Zn 0.521 0.521 0.219
Zn 0.479 0.479 0.781
```

The value obtained for the energy relative to the lowest polymorph listed for this composition is 131 meV per atom. For the mass density, the calculation gives 6.3 g/cm³. As for the crystal system: monoclinic. Its volume is 25.875 A^3/atom.

---

No. 4
A plane-wave DFT calculation with PBE-GGA was carried out for an optimized crystal structure of TmZnInSe3. Values from VASP.

Cell and atoms, written as Quantum ESPRESSO input:
```
&SYSTEM
  ibrav = 0, nat = 12, ntyp = 4
/
ATOMIC_SPECIES
In 114.82 In.upf
Se 78.96 Se.upf
Tm 168.93 Tm.upf
Zn 65.41 Zn.upf
CELL_PARAMETERS angstrom
-6.278 4.462 -2.876
-2.351 -3.316 -0.013
-0.133 0.053 10.634
ATOMIC_POSITIONS crystal
In 0.273 0.250 0.285
In 0.727 0.750 0.715
Se 0.445 0.750 0.138
Se 0.938 0.750 0.163
Se 0.770 0.250 0.435
Se 0.230 0.750 0.565
Se 0.062 0.250 0.837
Se 0.555 0.250 0.862
Tm 0.689 0.250 0.141
Tm 0.311 0.750 0.859
Zn 0.925 0.750 0.390
Zn 0.075 0.250 0.610
```

The value obtained for the energy relative to the lowest polymorph listed for this composition is 18 meV per atom. For the mass density, the calculation gives 5.8 g/cm³. As for the crystal system: monoclinic. Its volume is 27.880 A^3/atom.

---

No. 5
A plane-wave DFT calculation with PBE-GGA was carried out for an optimized crystal structure of ZnIn2Se4. Values from VASP.

Cell and atoms, written as Quantum ESPRESSO input:
```
&SYSTEM
  ibrav = 0, nat = 7, ntyp = 3
/
ATOMIC_SPECIES
In 114.82 In.upf
Se 78.96 Se.upf
Zn 65.41 Zn.upf
CELL_PARAMETERS angstrom
4.102 -5.877 0.000
4.102 5.877 0.000
-4.091 0.000 4.103
ATOMIC_POSITIONS crystal
In 0.500 0.500 0.000
In 0.750 0.250 0.500
Se 0.131 0.393 0.045
Se 0.349 0.087 0.480
Se 0.913 0.651 0.520
Se 0.607 0.869 0.955
Zn 0.000 0.000 0.000
```

For the mass density, the calculation gives 5.1 g/cm³. As for the crystal system: monoclinic. For the total energy, the calculation gives -3.5562 eV per atom. Its volume is 28.259 A^3/atom.

---

No. 6
A plane-wave DFT calculation with PBE-GGA was carried out for an optimized crystal structure of ZnIn2Se4. Values from VASP.

Cell and atoms, written as Quantum ESPRESSO input:
```
&SYSTEM
  ibrav = 0, nat = 7, ntyp = 3
/
ATOMIC_SPECIES
In 114.82 In.upf
Se 78.96 Se.upf
Zn 65.41 Zn.upf
CELL_PARAMETERS angstrom
-4.924 2.790 1.257
-2.195 -1.571 -5.142
1.385 -5.509 4.352
ATOMIC_POSITIONS crystal
In 0.501 0.499 0.000
In 0.250 0.750 0.500
Se 0.392 0.911 0.260
Se 0.869 0.348 0.263
Se 0.652 0.608 0.738
Se 0.087 0.132 0.739
Zn 0.999 0.001 0.000
```

For the mass density, the calculation gives 5.1 g/cm³. As for the crystal system: triclinic. For the total energy, the calculation gives -3.5559 eV per atom. Its volume is 28.266 A^3/atom.

---

No. 7
A plane-wave DFT calculation with PBE-GGA was carried out for an optimized crystal structure of Zr3InSe5. Values from VASP.

Cell and atoms, written as Quantum ESPRESSO input:
```
&SYSTEM
  ibrav = 0, nat = 9, ntyp = 3
/
ATOMIC_SPECIES
In 114.82 In.upf
Se 78.96 Se.upf
Zr 91.22 Zr.upf
CELL_PARAMETERS angstrom
6.195 0.000 0.000
-3.097 5.365 0.000
0.000 0.000 7.457
ATOMIC_POSITIONS crystal
In 0.000 0.000 0.000
Se 0.667 0.333 0.229
Se 0.333 0.667 0.229
Se 0.000 0.000 0.500
Se 0.667 0.333 0.771
Se 0.333 0.667 0.771
Zr 0.500 0.000 0.500
Zr 0.000 0.500 0.500
Zr 0.500 0.500 0.500
```

For the mass density, the calculation gives 5.2 g/cm³. As for the crystal system: hexagonal. For the total energy, the calculation gives -6.0405 eV per atom. Its volume is 27.534 A^3/atom.

---

No. 8
A plane-wave DFT calculation with PBE-GGA was carried out for an optimized crystal structure of SmInSi. Values from VASP.

Cell and atoms, written as Quantum ESPRESSO input:
```
&SYSTEM
  ibrav = 0, nat = 3, ntyp = 3
/
ATOMIC_SPECIES
In 114.82 In.upf
Si 28.09 Si.upf
Sm 150.36 Sm.upf
CELL_PARAMETERS angstrom
0.000 3.509 3.509
3.509 0.000 3.509
3.509 3.509 0.000
ATOMIC_POSITIONS crystal
In 0.250 0.250 0.250
Si 0.750 0.750 0.750
Sm 0.000 0.000 0.000
```

For the mass density, the calculation gives 5.6 g/cm³. As for the crystal system: cubic. For the total energy, the calculation gives -4.2377 eV per atom. Its volume is 28.808 A^3/atom.

---

No. 9
A plane-wave DFT calculation with PBE-GGA was carried out for an optimized crystal structure of SmInSi. Values from VASP.

Cell and atoms, written as Quantum ESPRESSO input:
```
&SYSTEM
  ibrav = 0, nat = 3, ntyp = 3
/
ATOMIC_SPECIES
In 114.82 In.upf
Si 28.09 Si.upf
Sm 150.36 Sm.upf
CELL_PARAMETERS angstrom
3.921 -2.333 -1.451
-0.011 -4.781 -0.241
0.048 -2.182 -4.261
ATOMIC_POSITIONS crystal
In 0.250 0.250 0.250
Si 0.000 0.000 0.000
Sm 0.750 0.750 0.750
```

For the mass density, the calculation gives 6.3 g/cm³. As for the crystal system: cubic. For the total energy, the calculation gives -4.4954 eV per atom. Its volume is 25.858 A^3/atom.

---

No. 10
A plane-wave DFT calculation with PBE-GGA was carried out for an optimized crystal structure of SmIn2Si2. Values from VASP.

Cell and atoms, written as Quantum ESPRESSO input:
```
&SYSTEM
  ibrav = 0, nat = 10, ntyp = 3
/
ATOMIC_SPECIES
In 114.82 In.upf
Si 28.09 Si.upf
Sm 150.36 Sm.upf
CELL_PARAMETERS angstrom
-3.245 -5.576 3.971
6.545 -3.815 -0.009
1.042 1.780 3.351
ATOMIC_POSITIONS crystal
In 0.328 0.172 0.500
In 0.828 0.328 0.500
In 0.172 0.672 0.500
In 0.672 0.828 0.500
Si 0.614 0.114 0.000
Si 0.114 0.386 0.000
Si 0.886 0.614 0.000
Si 0.386 0.886 0.000
Sm 0.000 0.000 0.000
Sm 0.500 0.500 0.000
```

For the mass density, the calculation gives 6.4 g/cm³. As for the crystal system: tetragonal. For the total energy, the calculation gives -4.3095 eV per atom. Its volume is 22.580 A^3/atom.

---

No. 11
A plane-wave DFT calculation with PBE-GGA was carried out for an optimized crystal structure of Ta3InSi5. Values from VASP.

Cell and atoms, written as Quantum ESPRESSO input:
```
&SYSTEM
  ibrav = 0, nat = 9, ntyp = 3
/
ATOMIC_SPECIES
In 114.82 In.upf
Si 28.09 Si.upf
Ta 180.95 Ta.upf
CELL_PARAMETERS angstrom
-0.683 -1.016 5.492
5.179 0.372 -2.169
0.038 6.327 1.175
ATOMIC_POSITIONS crystal
In 0.000 0.000 0.000
Si 0.667 0.333 0.181
Si 0.333 0.667 0.181
Si 0.000 0.000 0.500
Si 0.667 0.333 0.819
Si 0.333 0.667 0.819
Ta 0.500 0.000 0.500
Ta 0.000 0.500 0.500
Ta 0.500 0.500 0.500
```

For the mass density, the calculation gives 7.5 g/cm³. As for the crystal system: hexagonal. For the total energy, the calculation gives -7.1835 eV per atom. Its volume is 19.605 A^3/atom.

---

No. 12
A plane-wave DFT calculation with PBE-GGA was carried out for an optimized crystal structure of TbTmIn3Si2. Values from VASP.

Cell and atoms, written as Quantum ESPRESSO input:
```
&SYSTEM
  ibrav = 0, nat = 7, ntyp = 4
/
ATOMIC_SPECIES
In 114.82 In.upf
Si 28.09 Si.upf
Tb 158.93 Tb.upf
Tm 168.93 Tm.upf
CELL_PARAMETERS angstrom
5.307 -2.133 0.000
5.307 2.133 0.000
-1.189 0.000 6.878
ATOMIC_POSITIONS crystal
In 0.695 0.695 0.350
In 0.001 0.001 0.502
In 0.304 0.304 0.651
Si 0.093 0.093 0.115
Si 0.906 0.906 0.881
Tb 0.379 0.379 0.168
Tm 0.621 0.621 0.833
```

For the mass density, the calculation gives 7.8 g/cm³. As for the crystal system: monoclinic. For the total energy, the calculation gives -4.4320 eV per atom. Its volume is 22.246 A^3/atom.